[1]
{"formula": "CdAg2Hg", "functional": "GGA-PBE", "state": "relaxed", "cell": [[3.072, 0.000, 0.000], [0.000, 4.858, 0.000], [0.000, 0.000, 5.301]], "species": ["Cd", "Ag", "Ag", "Hg"], "frac_coords": [[0.000, 0.000, 0.000], [0.500, 0.000, 0.487], [0.500, 0.500, 0.162], [0.000, 0.500, 0.657]], "total_energy_ev_per_atom": -1.72, "relative_energy_ev_per_atom": 0.0074, "total_magnetization_mub_per_cell": 0.00, "sg": "Pmm2", "e_form_ev_per_atom": 0.014, "volume_a3_per_atom": 19.8}

---

[2]
{"formula": "Th4SbTeSe2", "functional": "GGA-PBE", "state": "relaxed", "cell": [[0.000, 6.155, 4.406], [4.319, 0.000, 4.406], [4.319, 6.155, 0.000]], "species": ["Th", "Th", "Th", "Th", "Sb", "Te", "Se", "Se"], "frac_coords": [[0.021, 0.486, 0.979], [0.250, 0.750, 0.250], [0.486, 0.021, 0.514], [0.750, 0.250, 0.750], [0.987, 0.987, 0.013], [0.521, 0.521, 0.479], [0.250, 0.250, 0.250], [0.750, 0.750, 0.750]], "total_energy_ev_per_atom": -6.69, "total_magnetization_mub_per_cell": 0.00, "sg": "Fmm2", "formation_energy_uncorrected_mev_per_atom": -1195.9, "volume_a3_per_atom": 29.3}

---

[3]
{"formula": "TcRu2Cl", "functional": "GGA-PBE", "state": "relaxed", "cell": [[2.866, 0.000, 0.000], [0.000, 4.429, 0.000], [0.000, 0.000, 8.933]], "species": ["Tc", "Tc", "Ru", "Ru", "Ru", "Ru", "Cl", "Cl"], "frac_coords": [[0.000, 0.000, 0.000], [0.500, 0.500, 0.500], [0.000, 0.000, 0.453], [0.000, 0.500, 0.230], [0.500, 0.000, 0.730], [0.500, 0.500, 0.953], [0.000, 0.500, 0.722], [0.500, 0.000, 0.222]], "total_energy_ev_per_atom": -7.00, "relative_energy_ev_per_atom": 0.3714, "total_magnetization_mub_per_cell": 0.00, "sg": "Imm2", "formation_energy_uncorrected_mev_per_atom": 695.9, "volume_a3_per_atom": 14.2}

---

[4]
{"formula": "La4NdY", "functional": "GGA-PBE", "state": "relaxed", "cell": [[5.274, 0.000, 0.000], [0.000, 15.525, 0.000], [0.000, 0.000, 5.252]], "species": ["La", "La", "La", "La", "La", "La", "La", "La", "Nd", "Nd", "Y", "Y"], "frac_coords": [[0.000, 0.166, 0.000], [0.000, 0.333, 0.500], [0.000, 0.667, 0.500], [0.000, 0.834, 0.000], [0.500, 0.167, 0.500], [0.500, 0.334, 0.000], [0.500, 0.666, 0.000], [0.500, 0.833, 0.500], [0.000, 0.500, 0.000], [0.500, 0.000, 0.000], [0.000, 0.000, 0.500], [0.500, 0.500, 0.500]], "total_energy_ev_per_atom": -5.14, "relative_energy_ev_per_atom": 0.0029, "total_magnetization_mub_per_cell": 0.00, "sg": "Cmmm", "e_form_ev_per_atom": 0.019, "volume_a3_per_atom": 35.8}

---

[5]
{"formula": "AcTb2Sm7", "functional": "GGA-PBE", "state": "relaxed", "cell": [[-2.797, 3.590, 8.590], [2.797, -3.590, 8.590], [2.797, 3.590, -8.590]], "species": ["Ac", "Tb", "Tb", "Sm", "Sm", "Sm", "Sm", "Sm", "Sm", "Sm"], "frac_coords": [[0.000, 0.000, 0.000], [0.301, 0.801, 0.500], [0.699, 0.199, 0.500], [0.143, 0.390, 0.753], [0.203, 0.203, 0.000], [0.363, 0.610, 0.753], [0.500, 0.000, 0.500], [0.637, 0.390, 0.247], [0.797, 0.797, 0.000], [0.857, 0.610, 0.247]], "total_energy_ev_per_atom": -4.59, "relative_energy_ev_per_atom": 0.0000, "total_magnetization_mub_per_cell": 0.00, "sg": "Immm", "e_form_ev_per_atom": 0.050, "volume_a3_per_atom": 34.5}

---

[6]
{"formula": "PmEr2Mg6", "functional": "GGA-PBE", "state": "relaxed", "cell": [[9.083, 0.000, 0.000], [-4.542, 7.867, 0.000], [0.000, 0.000, 3.290]], "species": ["Pm", "Er", "Er", "Mg", "Mg", "Mg", "Mg", "Mg", "Mg"], "frac_coords": [[0.000, 0.000, 0.000], [0.333, 0.667, 0.000], [0.667, 0.333, 0.000], [0.000, 0.337, 0.500], [0.000, 0.663, 0.500], [0.337, 0.000, 0.500], [0.337, 0.337, 0.500], [0.663, 0.000, 0.500], [0.663, 0.663, 0.500]], "total_energy_ev_per_atom": -2.68, "total_magnetization_mub_per_cell": 0.00, "sg": "P6/mmm", "e_form_ev_per_atom": -0.072, "volume_a3_per_atom": 26.1}